No. 1
# Cs12Ag5P3 (PBE, relaxed)
# Space-group type: Ia-3d, No. 230
# Calculated formation energy in kJ per mole of atoms: 8.2
data_Cs12Ag5P3
_symmetry_space_group_name_H-M 'P 1'
_symmetry_Int_Tables_number 1
_cell_length_a 18.410
_cell_length_b 18.410
_cell_length_c 18.410
_cell_angle_alpha 109.47
_cell_angle_beta 109.47
_cell_angle_gamma 109.47
loop_
_symmetry_equiv_pos_as_xyz
'x,y,z'
loop_
_atom_site_label
_atom_site_type_symbol
_atom_site_fract_x
_atom_site_fract_y
_atom_site_fract_z
P1 P 0.750 0.375 0.125
P2 P 0.875 0.750 0.125
P3 P 0.375 0.750 0.625
P4 P 0.250 0.125 0.375
P5 P 0.875 0.125 0.250
P6 P 0.375 0.625 0.250
P7 P 0.625 0.375 0.750
P8 P 0.125 0.875 0.750
P9 P 0.750 0.875 0.625
P10 P 0.625 0.250 0.375
P11 P 0.125 0.250 0.875
P12 P 0.250 0.625 0.875
Ag1 Ag 0.125 0.375 0.250
Ag2 Ag 0.000 0.500 0.000
Ag3 Ag 0.000 0.000 0.000
Ag4 Ag 0.375 0.250 0.125
Ag5 Ag 0.500 0.000 0.500
Ag6 Ag 0.500 0.500 0.000
Ag7 Ag 0.125 0.750 0.375
Ag8 Ag 0.750 0.125 0.875
Ag9 Ag 0.750 0.625 0.375
Ag10 Ag 0.375 0.125 0.750
Ag11 Ag 0.625 0.875 0.250
Ag12 Ag 0.500 0.500 0.500
Ag13 Ag 0.500 0.000 0.000
Ag14 Ag 0.000 0.000 0.500
Ag15 Ag 0.250 0.375 0.625
Ag16 Ag 0.250 0.875 0.125
Ag17 Ag 0.000 0.500 0.500
Ag18 Ag 0.875 0.250 0.625
Ag19 Ag 0.625 0.750 0.875
Ag20 Ag 0.875 0.625 0.750
Cs1 Cs 0.732 0.141 0.062
Cs2 Cs 0.330 0.562 0.422
Cs3 Cs 0.938 0.359 0.268
Cs4 Cs 0.562 0.232 0.141
Cs5 Cs 0.591 0.732 0.670
Cs6 Cs 0.938 0.578 0.170
Cs7 Cs 0.330 0.768 0.409
Cs8 Cs 0.078 0.909 0.141
Cs9 Cs 0.578 0.938 0.670
Cs10 Cs 0.732 0.591 0.170
Cs11 Cs 0.768 0.438 0.359
Cs12 Cs 0.830 0.922 0.062
Cs13 Cs 0.141 0.732 0.562
Cs14 Cs 0.359 0.422 0.091
Cs15 Cs 0.091 0.922 0.359
Cs16 Cs 0.409 0.141 0.578
Cs17 Cs 0.091 0.170 0.232
Cs18 Cs 0.438 0.670 0.078
Cs19 Cs 0.830 0.909 0.268
Cs20 Cs 0.141 0.409 0.078
Cs21 Cs 0.359 0.938 0.768
Cs22 Cs 0.578 0.641 0.409
Cs23 Cs 0.922 0.830 0.562
Cs24 Cs 0.768 0.330 0.909
Cs25 Cs 0.422 0.359 0.591
Cs26 Cs 0.078 0.170 0.438
Cs27 Cs 0.232 0.670 0.091
Cs28 Cs 0.170 0.091 0.732
Cs29 Cs 0.641 0.062 0.232
Cs30 Cs 0.859 0.591 0.922
Cs31 Cs 0.562 0.330 0.922
Cs32 Cs 0.591 0.859 0.422
Cs33 Cs 0.909 0.830 0.768
Cs34 Cs 0.909 0.078 0.641
Cs35 Cs 0.859 0.268 0.438
Cs36 Cs 0.170 0.078 0.938
Cs37 Cs 0.641 0.578 0.909
Cs38 Cs 0.422 0.062 0.330
Cs39 Cs 0.268 0.409 0.830
Cs40 Cs 0.232 0.562 0.641
Cs41 Cs 0.922 0.091 0.859
Cs42 Cs 0.670 0.232 0.591
Cs43 Cs 0.438 0.768 0.859
Cs44 Cs 0.062 0.422 0.830
Cs45 Cs 0.409 0.268 0.330
Cs46 Cs 0.062 0.641 0.732
Cs47 Cs 0.670 0.438 0.578
Cs48 Cs 0.268 0.859 0.938

***

No. 2
# CsAg2P2 (PBE, relaxed)
# Space-group type: P4/mbm, No. 127
# Calculated formation energy in kJ per mole of atoms: 36.1
# E above lowest polymorph in eV per atom: 0.3842
data_CsAg2P2
_symmetry_space_group_name_H-M 'P 1'
_symmetry_Int_Tables_number 1
_cell_length_a 8.725
_cell_length_b 8.725
_cell_length_c 3.121
_cell_angle_alpha 90.00
_cell_angle_beta 90.00
_cell_angle_gamma 90.00
loop_
_symmetry_equiv_pos_as_xyz
'x,y,z'
loop_
_atom_site_label
_atom_site_type_symbol
_atom_site_fract_x
_atom_site_fract_y
_atom_site_fract_z
Cs1 Cs 0.000 0.000 0.000
Cs2 Cs 0.500 0.500 0.000
P1 P 0.362 0.862 0.000
P2 P 0.862 0.638 0.000
P3 P 0.638 0.138 0.000
P4 P 0.138 0.362 0.000
Ag1 Ag 0.120 0.620 0.500
Ag2 Ag 0.620 0.880 0.500
Ag3 Ag 0.880 0.380 0.500
Ag4 Ag 0.380 0.120 0.500